First-principles (PBE) data for Ac2MnSb4Rh3 after structural relaxation, as listed in Alexandria via LeMat-Bulk.

POSCAR file:
```
Ac2MnSb4Rh3
1.0
4.635 0.000 0.000
0.000 4.635 0.000
0.000 0.000 10.772
Ac Rh Sb Mn
2 3 4 1
direct
0.500 0.000 0.251 Ac
0.000 0.500 0.749 Ac
0.500 0.000 0.879 Rh
0.000 0.000 0.500 Rh
0.000 0.500 0.121 Rh
0.000 0.500 0.368 Sb
0.000 0.000 0.000 Sb
0.500 0.000 0.632 Sb
0.500 0.500 0.000 Sb
0.500 0.500 0.500 Mn
```

Calculated values
E_form (uncorrected) = -750 meV per atom

=====

First-principles (PBE) data for Ac2MnSn3Rh4 after structural relaxation, as listed in Alexandria via LeMat-Bulk.

POSCAR file:
```
Ac2MnSn3Rh4
1.0
-1.030 -1.584 4.046
1.841 -3.925 -1.068
9.846 3.558 3.900
Sn Mn Ac Rh
3 1 2 4
direct
0.000 0.500 0.127 Sn
0.500 0.000 0.873 Sn
0.000 0.000 0.500 Sn
0.500 0.500 0.500 Mn
0.000 0.500 0.747 Ac
0.500 0.000 0.253 Ac
0.000 0.000 0.000 Rh
0.500 0.500 0.000 Rh
0.000 0.500 0.367 Rh
0.500 0.000 0.633 Rh
```

Calculated values
DFT formation energy = -0.631 eV per atom

=====

First-principles (PBE) data for Ac2MnSn4Rh3 after structural relaxation, as listed in Alexandria via LeMat-Bulk.

POSCAR file:
```
Ac2MnSn4Rh3
1.0
-3.391 1.530 -2.727
0.213 -3.901 -2.453
-7.412 -4.583 6.646
Rh Mn Sn Ac
3 1 4 2
direct
0.000 0.500 0.128 Rh
0.500 0.000 0.872 Rh
0.000 0.000 0.500 Rh
0.500 0.500 0.500 Mn
0.000 0.500 0.371 Sn
0.500 0.500 0.000 Sn
0.500 0.000 0.629 Sn
0.000 0.000 0.000 Sn
0.000 0.500 0.748 Ac
0.500 0.000 0.252 Ac
```

Calculated values
DFT formation energy = -0.611 eV per atom

=====

First-principles (PBE) data for Ac2MnZn2Rh5 after structural relaxation, as listed in Alexandria via LeMat-Bulk.

POSCAR file:
```
Ac2MnZn2Rh5
1.0
3.671 0.000 0.000
0.000 10.043 0.000
0.000 0.000 10.043
Ac Zn Rh Mn
4 4 10 2
direct
0.000 0.322 0.822 Ac
0.000 0.822 0.678 Ac
0.000 0.178 0.322 Ac
0.000 0.678 0.178 Ac
0.000 0.621 0.879 Zn
0.000 0.879 0.379 Zn
0.000 0.121 0.621 Zn
0.000 0.379 0.121 Zn
0.500 0.297 0.562 Rh
0.500 0.438 0.297 Rh
0.500 0.562 0.703 Rh
0.500 0.500 0.000 Rh
0.500 0.000 0.500 Rh
0.500 0.797 0.938 Rh
0.500 0.703 0.438 Rh
0.500 0.938 0.203 Rh
0.500 0.203 0.062 Rh
0.500 0.062 0.797 Rh
0.000 0.000 0.000 Mn
0.000 0.500 0.500 Mn
```

Calculated values
DFT formation energy = -0.365 eV per atom

=====

| no. | magnetic moment (μB/f.u.) | raw total energy (eV/atom) |
| --- | --- | --- |
| 1 | 3.6 | -6.3431 |
| 2 | 3.9 | -6.5111 |
| 3 | 3.5 | -6.1563 |
| 4 | 4.8 | -6.0340 |